No. 1
The following is a DFT calculation (PBE) of a relaxed SrCoHg crystal.

ΔH_f (0 K) (eV per formula unit): 0.6
Uncorrected energy (eV/atom): -2.817
Calculated volume (A^3/atom): 23.72
Magnetization (μB per atom): 0.400
Calculated density (g/cm³): 8.1

a b c (Å): 5.9942 5.9942 5.9942
angles (deg): 144.81 144.81 50.62
Fractional positions:
Co 0.9612 0.9612 0.0000
Hg 0.3746 0.3746 0.0000
Sr 0.6642 0.6642 0.0000

No. 2
The following is a DFT calculation (PBE) of a relaxed SrCo2Hg crystal.

ΔH_f (0 K) (eV per formula unit): 2.9
Uncorrected energy (eV/atom): -3.312
Calculated volume (A^3/atom): 19.31
Magnetization (μB per atom): 0.613
Calculated density (g/cm³): 8.7

a b c (Å): 5.5565 5.4359 3.0961
angles (deg): 76.98 83.31 118.55
Fractional positions:
Co 0.0000 0.0000 0.0000
Co 0.5000 0.0000 0.5000
Hg 0.0000 0.5000 0.5000
Sr 0.5000 0.5000 0.0000

No. 3
The following is a DFT calculation (PBE) of a relaxed SrCoHg2 crystal.

ΔH_f (0 K) (eV per formula unit): 0.6
Uncorrected energy (eV/atom): -2.210
Calculated volume (A^3/atom): 24.11
Magnetization (μB per atom): 0.281
Calculated density (g/cm³): 9.4

a b c (Å): 3.6643 3.6643 7.1833
angles (deg): 90.00 90.00 90.00
Fractional positions:
Co 0.5000 0.5000 0.8314
Hg 0.0000 0.0000 0.9453
Hg 0.5000 0.5000 0.2100
Sr 0.0000 0.0000 0.5133

No. 4
The following is a DFT calculation (PBE) of a relaxed SrCoHg2 crystal.

ΔH_f (0 K) (eV per formula unit): 0.5
Uncorrected energy (eV/atom): -2.229
Calculated volume (A^3/atom): 24.82
Magnetization (μB per atom): 0.285
Calculated density (g/cm³): 9.2

a b c (Å): 4.3182 3.8430 6.2826
angles (deg): 72.19 90.00 90.00
Fractional positions:
Co 0.5000 0.7500 0.7500
Hg 0.0000 0.8994 0.9550
Hg 0.0000 0.6006 0.5450
Sr 0.5000 0.2500 0.2500